# AlRu2W

A geometry-optimized AlRu2W structure (PBE, the Alexandria database).

```
AlRu2W
1.0
1.485 -2.286 0.000
1.485 2.286 0.000
0.000 0.000 8.733
Al Ru W
1 2 1
direct
0.000 0.000 0.000
0.000 0.000 0.489
0.500 0.500 0.231
0.500 0.500 0.739
```

Size of the total moment, Bohr magnetons per cell: 0.14
Crystal system: orthorhombic
ΔH_f (0 K), meV/atom: 135
DOS(E_F), states/eV/f.u.: 4.21


# KPb2AuN

A geometry-optimized KPb2AuN structure (PBE, the Alexandria database).

```
KPb2AuN
1.0
5.443 0.000 0.000
0.000 5.443 0.000
0.000 0.000 5.912
K Pb Au N
1 2 1 1
direct
0.000 0.000 0.000
0.000 0.500 0.500
0.500 0.000 0.500
0.000 0.000 0.500
0.500 0.500 0.000
```

Size of the total moment, Bohr magnetons per cell: 0.00
Crystal system: tetragonal
DOS(E_F), states/eV/f.u.: 7.05
Uncorrected formation energy, eV per atom: 1.20


# Sm4BiAs2P

A geometry-optimized Sm4BiAs2P structure (PBE, the Alexandria database).

```
Sm4BiAs2P
1.0
7.398 0.000 0.000
0.000 4.264 0.000
-2.461 0.000 7.012
Sm Bi As P
4 1 2 1
direct
0.239 0.000 0.233
0.248 0.500 0.761
0.752 0.500 0.239
0.761 0.000 0.767
0.500 0.500 0.500
0.000 0.000 0.500
0.000 0.500 0.000
0.500 0.000 0.000
```

Size of the total moment, Bohr magnetons per cell: 0.00
Crystal system: monoclinic
ΔH_f (0 K), meV/atom: -1336
DOS(E_F), states/eV/f.u.: 0.88


# Dy4HoEr2Mg

A geometry-optimized Dy4HoEr2Mg structure (PBE, the Alexandria database).

```
Dy4HoEr2Mg
1.0
4.945 0.000 0.000
0.000 4.945 0.000
0.000 0.000 9.875
Dy Ho Er Mg
4 1 2 1
direct
0.000 0.500 0.248
0.000 0.500 0.752
0.500 0.000 0.248
0.500 0.000 0.752
0.000 0.000 0.500
0.000 0.000 0.000
0.500 0.500 0.500
0.500 0.500 0.000
```

Size of the total moment, Bohr magnetons per cell: 0.00
Crystal system: tetragonal
ΔH_f (0 K), meV/atom: 20
DOS(E_F), states/eV/f.u.: 11.79


# NbCrRh3

A geometry-optimized NbCrRh3 structure (PBE, the Alexandria database).

```
NbCrRh3
1.0
4.673 0.000 0.000
0.000 4.673 0.000
0.000 0.000 4.673
Nb Cr Rh
1 1 3
direct
0.000 0.000 0.000
0.500 0.500 0.500
0.000 0.000 0.500
0.000 0.500 0.000
0.500 0.000 0.000
```

Energy relative to the lowest polymorph listed for this composition, meV/atom: 593
Size of the total moment, Bohr magnetons per cell: 0.62
Crystal system: cubic
ΔH_f (0 K), meV/atom: 1438
DOS(E_F), states/eV/f.u.: 7.33


# Tb6Pr3DyTm2

A geometry-optimized Tb6Pr3DyTm2 structure (PBE, the Alexandria database).

```
Tb6Pr3DyTm2
1.0
3.107 -5.381 0.000
3.107 5.381 0.000
-2.069 0.000 11.693
Tb Pr Dy Tm
6 3 1 2
direct
0.085 0.418 0.756
0.248 0.248 0.244
0.418 0.085 0.756
0.582 0.915 0.244
0.752 0.752 0.756
0.915 0.582 0.244
0.000 0.000 0.500
0.333 0.667 0.500
0.667 0.333 0.500
0.500 0.500 0.000
0.167 0.833 0.000
0.833 0.167 0.000
```

Size of the total moment, Bohr magnetons per cell: 0.00
Crystal system: monoclinic
ΔH_f (0 K), meV/atom: 21
DOS(E_F), states/eV/f.u.: 16.14


# Fe2OsPb

A geometry-optimized Fe2OsPb structure (PBE, the Alexandria database).

```
Fe2OsPb
1.0
4.394 -1.504 0.000
4.394 1.504 0.000
-0.933 0.000 4.881
Fe Os Pb
2 1 1
direct
0.238 0.238 0.184
0.762 0.762 0.816
0.500 0.500 0.000
0.000 0.000 0.500
```

Size of the total moment, Bohr magnetons per cell: 4.76
Crystal system: monoclinic
ΔH_f (0 K), meV/atom: 664
DOS(E_F), states/eV/f.u.: 4.12


# LaHo12Tm6

A geometry-optimized LaHo12Tm6 structure (PBE, the Alexandria database).

```
LaHo12Tm6
1.0
5.897 3.405 5.033
-5.897 3.405 5.033
0.000 -6.809 5.033
La Ho Tm
1 12 6
direct
0.000 0.000 0.000
0.008 0.211 0.357
0.211 0.357 0.008
0.227 0.455 0.565
0.357 0.008 0.211
0.435 0.773 0.545
0.455 0.565 0.227
0.545 0.435 0.773
0.565 0.227 0.455
0.643 0.992 0.789
0.773 0.545 0.435
0.789 0.643 0.992
0.992 0.789 0.643
0.093 0.686 0.257
0.257 0.093 0.686
0.314 0.743 0.907
0.686 0.257 0.093
0.743 0.907 0.314
0.907 0.314 0.743
```

Energy relative to the lowest polymorph listed for this composition, meV/atom: 0
Size of the total moment, Bohr magnetons per cell: 0.01
Crystal system: trigonal
ΔH_f (0 K), meV/atom: 159
DOS(E_F), states/eV/f.u.: 33.55